A plane-wave DFT calculation with PBEsol was carried out for an optimized crystal structure of Ca5P3HO13.

Lattice parameters (Å, degrees): 9.389 6.849 18.776 90.00 119.97 90.00
Fractional coordinates of all 88 atoms:
Ca 0.005 0.244 0.376
Ca 0.005 0.256 0.876
Ca 0.246 0.246 0.247
Ca 0.246 0.254 0.747
Ca 0.253 0.743 0.374
Ca 0.253 0.757 0.874
Ca 0.325 0.000 0.080
Ca 0.325 0.500 0.580
Ca 0.342 0.002 0.588
Ca 0.342 0.498 0.088
Ca 0.658 0.502 0.912
Ca 0.658 0.998 0.412
Ca 0.675 0.000 0.920
Ca 0.675 0.500 0.420
Ca 0.747 0.243 0.126
Ca 0.747 0.257 0.626
Ca 0.754 0.746 0.253
Ca 0.754 0.754 0.753
Ca 0.995 0.744 0.124
Ca 0.995 0.756 0.624
P 0.030 0.748 0.449
P 0.030 0.752 0.949
P 0.368 0.745 0.234
P 0.368 0.755 0.734
P 0.398 0.245 0.434
P 0.398 0.255 0.934
P 0.602 0.745 0.066
P 0.602 0.755 0.566
P 0.632 0.245 0.266
P 0.632 0.255 0.766
P 0.970 0.248 0.051
P 0.970 0.252 0.551
H 0.001 0.555 0.249
H 0.001 0.945 0.749
H 0.999 0.055 0.251
H 0.999 0.445 0.751
O 0.001 0.698 0.250
O 0.001 0.802 0.750
O 0.080 0.581 0.912
O 0.080 0.919 0.412
O 0.092 0.557 0.429
O 0.092 0.943 0.929
O 0.124 0.732 0.044
O 0.124 0.768 0.544
O 0.158 0.246 0.086
O 0.158 0.254 0.586
O 0.251 0.577 0.708
O 0.251 0.923 0.208
O 0.261 0.559 0.204
O 0.261 0.941 0.704
O 0.326 0.080 0.874
O 0.326 0.420 0.374
O 0.327 0.240 0.492
O 0.327 0.260 0.992
O 0.356 0.057 0.381
O 0.356 0.443 0.881
O 0.412 0.738 0.517
O 0.412 0.762 0.017
O 0.467 0.743 0.688
O 0.467 0.757 0.188
O 0.485 0.740 0.328
O 0.485 0.760 0.828
O 0.515 0.240 0.172
O 0.515 0.260 0.672
O 0.533 0.243 0.812
O 0.533 0.257 0.312
O 0.588 0.238 0.983
O 0.588 0.262 0.483
O 0.644 0.557 0.119
O 0.644 0.943 0.619
O 0.673 0.740 0.008
O 0.673 0.760 0.508
O 0.674 0.580 0.626
O 0.674 0.920 0.126
O 0.739 0.059 0.296
O 0.739 0.441 0.796
O 0.749 0.077 0.792
O 0.749 0.423 0.292
O 0.842 0.746 0.414
O 0.842 0.754 0.914
O 0.876 0.232 0.456
O 0.876 0.268 0.956
O 0.908 0.057 0.071
O 0.908 0.443 0.571
O 0.920 0.081 0.588
O 0.920 0.419 0.088
O 0.999 0.198 0.250
O 0.999 0.302 0.750

Results
E (eV per atom): -7.375
SG: P2_1/c

A plane-wave DFT calculation with PBEsol was carried out for an optimized crystal structure of Y2Au.

Lattice parameters (Å, degrees): 6.753 6.849 3.819 90.00 90.00 90.00
Fractional coordinates of all 6 atoms:
Y 0.152 0.226 0.000
Y 0.348 0.726 0.500
Y 0.652 0.274 0.500
Y 0.848 0.774 0.000
Au 0.000 0.500 0.500
Au 0.500 0.000 0.000

Results
SG: Pnnm
DFT formation energy (kJ/mol of atoms): -37.20

A plane-wave DFT calculation with PBEsol was carried out for an optimized crystal structure of Cs3PO4.

Lattice parameters (Å, degrees): 12.128 8.838 6.421 90.00 90.00 90.00
Fractional coordinates of all 32 atoms:
Cs 0.075 0.250 0.139
Cs 0.145 0.008 0.685
Cs 0.145 0.492 0.685
Cs 0.355 0.508 0.185
Cs 0.355 0.992 0.185
Cs 0.425 0.750 0.639
Cs 0.575 0.250 0.361
Cs 0.645 0.008 0.815
Cs 0.645 0.492 0.815
Cs 0.855 0.508 0.315
Cs 0.855 0.992 0.315
Cs 0.925 0.750 0.861
P 0.113 0.750 0.275
P 0.387 0.250 0.775
P 0.613 0.750 0.225
P 0.887 0.250 0.725
O 0.014 0.750 0.433
O 0.106 0.605 0.137
O 0.106 0.895 0.137
O 0.223 0.750 0.401
O 0.277 0.250 0.901
O 0.394 0.105 0.637
O 0.394 0.395 0.637
O 0.486 0.250 0.933
O 0.514 0.750 0.067
O 0.606 0.605 0.363
O 0.606 0.895 0.363
O 0.723 0.750 0.099
O 0.777 0.250 0.599
O 0.894 0.105 0.863
O 0.894 0.395 0.863
O 0.986 0.250 0.567

Results
E_form (uncorrected) (kJ/mol of atoms): -210.81
SG: Pnma

A plane-wave DFT calculation with PBEsol was carried out for an optimized crystal structure of AgMo3O.

Lattice parameters (Å, degrees): 4.720 4.720 4.720 90.00 90.00 90.00
Fractional coordinates of all 5 atoms:
Ag 0.000 0.000 0.000
Mo 0.000 0.000 0.500
Mo 0.000 0.500 0.000
Mo 0.500 0.000 0.000
O 0.500 0.500 0.500

Results
E_form (uncorrected) (kJ/mol of atoms): 306.36
SG: Pm-3m

A plane-wave DFT calculation with PBEsol was carried out for an optimized crystal structure of SrTl2N.

Lattice parameters (Å, degrees): 5.082 5.082 5.082 60.00 60.00 60.00
Fractional coordinates of all 4 atoms:
Sr 0.000 0.000 0.000
Tl 0.250 0.250 0.250
Tl 0.750 0.750 0.750
N 0.500 0.500 0.500

Results
E_form (uncorrected) (kJ/mol of atoms): 68.38
SG: Fm-3m

A plane-wave DFT calculation with PBEsol was carried out for an optimized crystal structure of CrOs2Au.

Lattice parameters (Å, degrees): 4.717 4.717 4.687 101.47 101.47 33.43
Fractional coordinates of all 4 atoms:
Cr 0.000 0.000 0.000
Os 0.267 0.267 0.775
Os 0.733 0.733 0.225
Au 0.500 0.500 0.500

Results
ΔE to the lowest computed polymorph (eV per atom): 0.000
SG: C2/m
DFT formation energy (kJ/mol of atoms): 30.13

no.,density (g/cm³)
1,3.19
2,7.05
3,4.76
4,6.50
5,9.13
6,18.60